{"formula": "Fe3IrO", "functional": "PBE with a Hubbard U", "state": "optimized geometry", "dos_at_fermi_per_ev_cell": 1.5, "polymorph_energy_mev_per_atom": 0.0, "rho_g_cm3": 8.93, "final_energy_ev_per_cell": -30.87, "cell": [[4.119, 0.000, 0.000], [0.000, 4.119, 0.000], [0.000, 0.000, 4.119]], "species": ["Fe", "Fe", "Fe", "O", "Ir"], "frac_coords": [[0.000, 0.000, 0.500], [0.500, 0.000, 0.000], [0.000, 0.500, 0.000], [0.000, 0.000, 0.000], [0.500, 0.500, 0.500]]}